CoCuSnO4: optimized geometry, PBE+U.

Summary:
Uncorrected energy   -80.89 eV per cell

Cell lengths 5.8541, 6.0606, 6.0606 Å; angles 62.73, 61.12, 61.12 degrees
Element x y z (fractional)
O  0.7438  0.7675  0.2675
O  0.7564  0.2035  0.2838
Sn  0.0000  0.5000  0.5000
Co  0.5000  0.0000  0.5000
Sn  0.0000  0.0000  0.0000
O  0.2562  0.2325  0.7325
O  0.2436  0.2162  0.2965
Cu  0.6564  0.5936  0.0936
Co  0.0000  0.0000  0.5000
O  0.2436  0.7965  0.7162
Cu  0.3436  0.4064  0.9064
O  0.7564  0.7838  0.7035
O  0.2211  0.7675  0.2675
O  0.7789  0.2325  0.7325